1.
A plane-wave DFT calculation with PBE-GGA was carried out for crystalline CaTiI2 at its relaxed geometry.

The space group is I-42d (No. 122) and the conventional cell measures 5.655, 5.655 and 17.849 Å, with angles of 90.00, 90.00 and 90.00 degrees. The asymmetric unit holds Ca at (0.000, 0.000, 0.000), Ti at (0.000, 0.000, 0.500) and I at (0.221, 0.250, 0.625).

***

2.
A plane-wave DFT calculation with PBE-GGA was carried out for crystalline CaTi3I at its relaxed geometry.

Its relative energy among the computed polymorphs is 953 meV per atom.

The space group is Pm-3m (No. 221) and the conventional cell measures 5.030, 5.030 and 5.030 Å, with angles of 90.00, 90.00 and 90.00 degrees. The asymmetric unit holds Ca at (0.000, 0.000, 0.000), Ti at (0.000, 0.000, 0.500) and I at (0.500, 0.500, 0.500).

***

3.
A plane-wave DFT calculation with PBE-GGA was carried out for crystalline CaTiTlI2 at its relaxed geometry.

The space group is P4/mmm (No. 123) and the conventional cell measures 5.478, 5.478 and 6.513 Å, with angles of 90.00, 90.00 and 90.00 degrees. The asymmetric unit holds Ca at (0.000, 0.000, 0.000), Ti at (0.000, 0.000, 0.500), Tl at (0.500, 0.500, 0.000) and I at (0.000, 0.500, 0.500).

***

4.
A plane-wave DFT calculation with PBE-GGA was carried out for crystalline CaYTi2I at its relaxed geometry.

Its relative energy among the computed polymorphs is 0 meV per atom.

The space group is P4/mmm (No. 123) and the conventional cell measures 5.104, 5.104 and 5.666 Å, with angles of 90.00, 90.00 and 90.00 degrees. The asymmetric unit holds Ca at (0.000, 0.000, 0.000), Y at (0.500, 0.500, 0.000), Ti at (0.000, 0.500, 0.500) and I at (0.500, 0.500, 0.500).

***

5.
A plane-wave DFT calculation with PBE-GGA was carried out for crystalline CaYTi2I at its relaxed geometry.

Its relative energy among the computed polymorphs is 29 meV per atom.

The space group is P4/mmm (No. 123) and the conventional cell measures 5.092, 5.092 and 5.615 Å, with angles of 90.00, 90.00 and 90.00 degrees. The asymmetric unit holds Ca at (0.000, 0.000, 0.000), Y at (0.500, 0.500, 0.000), Ti at (0.000, 0.500, 0.500) and I at (0.000, 0.000, 0.500).

***

6.
A plane-wave DFT calculation with PBE-GGA was carried out for crystalline CaY2TiI at its relaxed geometry.

The space group is P4/mmm (No. 123) and the conventional cell measures 5.896, 5.896 and 4.835 Å, with angles of 90.00, 90.00 and 90.00 degrees. The asymmetric unit holds Ca at (0.000, 0.000, 0.000), Y at (0.000, 0.500, 0.000), Ti at (0.000, 0.000, 0.500) and I at (0.500, 0.500, 0.500).

***

7.
A plane-wave DFT calculation with PBE-GGA was carried out for crystalline CaTl2I2 at its relaxed geometry.

Its relative energy among the computed polymorphs is 0 meV per atom.

The space group is I4/mmm (No. 139) and the conventional cell measures 4.201, 4.201 and 24.671 Å, with angles of 90.00, 90.00 and 90.00 degrees. The asymmetric unit holds Ca at (0.000, 0.000, 0.000), Tl at (0.000, 0.500, 0.250) and I at (0.000, 0.000, 0.425).

***

8.
A plane-wave DFT calculation with PBE-GGA was carried out for crystalline CaTlI5 at its relaxed geometry.

The space group is C2/c (No. 15) and the conventional cell measures 11.887, 11.837 and 11.561 Å, with angles of 90.00, 117.90 and 90.00 degrees. The asymmetric unit holds Ca at (0.000, 0.000, 0.000), Tl at (0.000, 0.382, 0.250), I at (0.000, 0.087, 0.750), I at (0.011, 0.268, 0.473) and I at (0.202, 0.453, 0.846).

***

Computed E (eV/atom) in order:
-3.50 -3.72 -3.08 -4.61 -4.58 -3.78 -2.58 -2.52